Record 1
ReHgSe2 | GGA-PBEsol | optimized geometry

Properties
**Volume**: 80 Å³ per cell
**VASP energy**: -5.16 eV per atom
**DOS at the Fermi energy**: 3.5 states/eV/f.u.
**ρ**: 11.25 Mg/m³
**Raw formation energy**: 0.242 eV per atom

abc: 6.3093 6.3093 6.3093
angles: 153.53 133.80 54.04
Sites, in units of the cell vectors:
Re 0.0000 0.0000 0.0000
Hg 0.5000 0.5000 0.0000
Se 0.1834 0.6834 0.5000
Se 0.8166 0.3166 0.5000

***

Record 2
ReHgSe3 | GGA-PBEsol | optimized geometry

Properties
**Volume**: 115 Å³ per cell
**VASP energy**: -4.68 eV per atom
**DOS at the Fermi energy**: 4.7 states/eV/f.u.
**ρ**: 8.99 Mg/m³
**Raw formation energy**: 0.411 eV per atom

abc: 4.8653 4.8653 4.8653
angles: 90.00 90.00 90.00
Sites, in units of the cell vectors:
Re 0.0000 0.0000 0.0000
Hg 0.5000 0.5000 0.5000
Se 0.0000 0.0000 0.5000
Se 0.0000 0.5000 0.0000
Se 0.5000 0.0000 0.0000

***

Record 3
ReHg2Se | GGA-PBEsol | optimized geometry

Properties
**Volume**: 74 Å³ per cell
**VASP energy**: -3.62 eV per atom
**DOS at the Fermi energy**: 4.3 states/eV/f.u.
**ρ**: 15.05 Mg/m³
**Raw formation energy**: 0.960 eV per atom

abc: 4.0346 4.0346 4.5171
angles: 90.00 90.00 90.00
Sites, in units of the cell vectors:
Re 0.0000 0.0000 0.0000
Hg 0.0000 0.5000 0.5000
Hg 0.5000 0.0000 0.5000
Se 0.5000 0.5000 0.0000

***

Record 4
Re2SiHg | GGA-PBEsol | optimized geometry

Properties
**Volume**: 63 Å³ per cell
**VASP energy**: -7.80 eV per atom
**DOS at the Fermi energy**: 2.6 states/eV/f.u.
**ΔE to the lowest computed polymorph**: 0.006 eV/atom
**ρ**: 15.92 Mg/m³
**Raw formation energy**: 0.449 eV per atom

abc: 4.4703 4.4703 5.2723
angles: 102.03 102.03 37.58
Sites, in units of the cell vectors:
Re 0.2353 0.2353 0.2039
Re 0.7647 0.7647 0.7961
Si 0.5000 0.5000 0.0000
Hg 0.0000 0.0000 0.5000

***

Record 5
ReSi2Hg | GGA-PBEsol | optimized geometry

Properties
**Volume**: 61 Å³ per cell
**VASP energy**: -5.78 eV per atom
**DOS at the Fermi energy**: 4.2 states/eV/f.u.
**ρ**: 12.11 Mg/m³
**Raw formation energy**: 0.565 eV per atom

abc: 4.6847 4.6847 4.6847
angles: 128.82 128.82 75.31
Sites, in units of the cell vectors:
Re 0.0000 0.0000 0.0000
Si 0.2500 0.7500 0.5000
Si 0.7500 0.2500 0.5000
Hg 0.5000 0.5000 0.0000

***

Record 6
ReSi2Hg | GGA-PBEsol | optimized geometry

Properties
**Volume**: 71 Å³ per cell
**VASP energy**: -6.00 eV per atom
**DOS at the Fermi energy**: 2.2 states/eV/f.u.
**ρ**: 10.41 Mg/m³
**Raw formation energy**: 0.346 eV per atom

abc: 2.7929 2.7929 9.8555
angles: 90.00 90.00 113.19
Sites, in units of the cell vectors:
Re 0.0000 0.0000 0.0000
Si 0.5000 0.5000 0.1970
Si 0.5000 0.5000 0.8030
Hg 0.0000 0.0000 0.5000

***

Record 7
ReSi2Hg | GGA-PBEsol | optimized geometry

Properties
**Volume**: 63 Å³ per cell
**VASP energy**: -5.62 eV per atom
**DOS at the Fermi energy**: 2.7 states/eV/f.u.
**ρ**: 11.61 Mg/m³
**Raw formation energy**: 0.726 eV per atom

abc: 3.0551 4.2559 4.8742
angles: 90.00 90.00 90.00
Sites, in units of the cell vectors:
Re 0.0000 0.0000 0.0000
Si 0.0000 0.5000 0.5000
Si 0.5000 0.5000 0.0000
Hg 0.5000 0.0000 0.5000

***

Record 8
ReSi2Hg | GGA-PBEsol | optimized geometry

Properties
**Volume**: 64 Å³ per cell
**VASP energy**: -5.45 eV per atom
**DOS at the Fermi energy**: 4.3 states/eV/f.u.
**ρ**: 11.54 Mg/m³
**Raw formation energy**: 0.900 eV per atom

abc: 4.4835 4.4835 4.4835
angles: 60.00 60.00 60.00
Sites, in units of the cell vectors:
Re 0.0000 0.0000 0.0000
Si 0.5000 0.5000 0.5000
Si 0.7500 0.7500 0.7500
Hg 0.2500 0.2500 0.2500

***

Record 9
ReSiHg2 | GGA-PBEsol | optimized geometry

Properties
**Volume**: 70 Å³ per cell
**VASP energy**: -4.73 eV per atom
**DOS at the Fermi energy**: 3.0 states/eV/f.u.
**ρ**: 14.50 Mg/m³
**Raw formation energy**: 0.322 eV per atom

abc: 9.0376 9.0376 9.0376
angles: 19.30 19.30 19.30
Sites, in units of the cell vectors:
Re 0.0000 0.0000 0.0000
Si 0.7294 0.7294 0.7294
Hg 0.2450 0.2450 0.2450
Hg 0.4826 0.4826 0.4826

***

Record 10
Re2SiHg | GGA-PBEsol | optimized geometry

Properties
**Volume**: 62 Å³ per cell
**VASP energy**: -7.80 eV per atom
**DOS at the Fermi energy**: 3.5 states/eV/f.u.
**ΔE to the lowest computed polymorph**: 0.000 eV/atom
**ρ**: 16.17 Mg/m³
**Raw formation energy**: 0.442 eV per atom

abc: 2.9035 3.9293 5.5439
angles: 90.00 102.53 90.00
Sites, in units of the cell vectors:
Re 0.1353 0.0000 0.2878
Re 0.8647 0.0000 0.7122
Si 0.5000 0.5000 0.5000
Hg 0.5000 0.5000 0.0000

***

Record 11
Re2SiHg | GGA-PBEsol | optimized geometry

Properties
**Volume**: 62 Å³ per cell
**VASP energy**: -7.53 eV per atom
**DOS at the Fermi energy**: 3.2 states/eV/f.u.
**ΔE to the lowest computed polymorph**: 0.275 eV/atom
**ρ**: 16.01 Mg/m³
**Raw formation energy**: 0.717 eV per atom

abc: 5.2763 5.2763 2.8122
angles: 104.00 104.00 116.34
Sites, in units of the cell vectors:
Re 0.0000 0.5000 0.0000
Re 0.5000 0.0000 0.0000
Si 0.0000 0.0000 0.5000
Hg 0.5000 0.5000 0.5000

***

Record 12
ReSnHg3 | GGA-PBEsol | optimized geometry

Properties
**Volume**: 155 Å³ per cell
**Formation energy**: 1.638 eV/atom
**VASP energy**: -2.22 eV per atom
**DOS at the Fermi energy**: 3.2 states/eV/f.u.
**ρ**: 9.71 Mg/m³

abc: 5.3732 5.3732 5.3732
angles: 90.00 90.00 90.00
Sites, in units of the cell vectors:
Re 0.0000 0.0000 0.0000
Sn 0.5000 0.5000 0.5000
Hg 0.0000 0.5000 0.5000
Hg 0.5000 0.0000 0.5000
Hg 0.5000 0.5000 0.0000

***

Record 13
SrReHg2 | GGA-PBEsol | optimized geometry

Properties
**Volume**: 96 Å³ per cell
**Formation energy**: 0.518 eV/atom
**VASP energy**: -3.56 eV per atom
**DOS at the Fermi energy**: 3.6 states/eV/f.u.
**ΔE to the lowest computed polymorph**: 0.000 eV/atom
**ρ**: 11.72 Mg/m³

abc: 7.2152 7.2152 4.6883
angles: 103.59 103.59 23.81
Sites, in units of the cell vectors:
Sr 0.0000 0.0000 0.0000
Re 0.6995 0.6995 0.1341
Hg 0.1793 0.1793 0.6258
Hg 0.3668 0.3668 0.4010

***

Record 14
SrReHg2 | GGA-PBEsol | optimized geometry

Properties
**Volume**: 82 Å³ per cell
**Formation energy**: 0.616 eV/atom
**VASP energy**: -3.46 eV per atom
**DOS at the Fermi energy**: 2.4 states/eV/f.u.
**ΔE to the lowest computed polymorph**: 0.098 eV/atom
**ρ**: 13.74 Mg/m³

abc: 5.3262 5.3262 3.0025
angles: 90.00 90.00 106.70
Sites, in units of the cell vectors:
Sr 0.0000 0.0000 0.0000
Re 0.5000 0.5000 0.0000
Hg 0.0000 0.5000 0.5000
Hg 0.5000 0.0000 0.5000

***

Record 15
TaReHg2 | GGA-PBEsol | optimized geometry

Properties
**Volume**: 75 Å³ per cell
**Formation energy**: 0.323 eV/atom
**VASP energy**: -6.43 eV per atom
**DOS at the Fermi energy**: 2.4 states/eV/f.u.
**ΔE to the lowest computed polymorph**: 0.000 eV/atom
**ρ**: 16.98 Mg/m³

abc: 3.1746 3.1746 7.4548
angles: 90.00 90.00 90.00
Sites, in units of the cell vectors:
Ta 0.0000 0.0000 0.0000
Re 0.5000 0.5000 0.8216
Hg 0.0000 0.0000 0.5602
Hg 0.5000 0.5000 0.2786

***

Record 16
TaReHg2 | GGA-PBEsol | optimized geometry

Properties
**Volume**: 71 Å³ per cell
**Formation energy**: 0.528 eV/atom
**VASP energy**: -6.23 eV per atom
**DOS at the Fermi energy**: 1.8 states/eV/f.u.
**ΔE to the lowest computed polymorph**: 0.205 eV/atom
**ρ**: 18.01 Mg/m³

abc: 5.0998 5.0998 5.2217
angles: 96.56 96.56 31.69
Sites, in units of the cell vectors:
Ta 0.0000 0.0000 0.0000
Re 0.2526 0.2526 0.8011
Hg 0.5074 0.5074 0.5131
Hg 0.7516 0.7516 0.2839

***

Record 17
TaReHg2 | GGA-PBEsol | optimized geometry

Properties
**Volume**: 71 Å³ per cell
**Formation energy**: 0.593 eV/atom
**VASP energy**: -6.16 eV per atom
**DOS at the Fermi energy**: 2.0 states/eV/f.u.
**ΔE to the lowest computed polymorph**: 0.270 eV/atom
**ρ**: 17.96 Mg/m³

abc: 5.5542 5.5542 2.7979
angles: 99.34 99.34 119.58
Sites, in units of the cell vectors:
Ta 0.0000 0.0000 0.0000
Re 0.5000 0.5000 0.0000
Hg 0.0000 0.5000 0.5000
Hg 0.5000 0.0000 0.5000

***

Record 18
TaReHg2 | GGA-PBEsol | optimized geometry

Properties
**Volume**: 72 Å³ per cell
**Formation energy**: 0.427 eV/atom
**VASP energy**: -6.33 eV per atom
**DOS at the Fermi energy**: 2.2 states/eV/f.u.
**ΔE to the lowest computed polymorph**: 0.104 eV/atom
**ρ**: 17.61 Mg/m³

abc: 2.8913 4.1724 6.0065
angles: 90.00 90.36 90.00
Sites, in units of the cell vectors:
Ta 0.0000 0.0000 0.0000
Re 0.6614 0.5000 0.7990
Hg 0.1124 0.0000 0.5308
Hg 0.5646 0.5000 0.2732

***

Record 19
Re2TcHg | GGA-PBEsol | optimized geometry

Properties
**Volume**: 62 Å³ per cell
**Formation energy**: 0.900 eV/atom
**VASP energy**: -8.72 eV per atom
**DOS at the Fermi energy**: 3.9 states/eV/f.u.
**ρ**: 17.89 Mg/m³

abc: 4.6106 4.6106 2.9294
angles: 90.00 90.00 90.00
Sites, in units of the cell vectors:
Re 0.0000 0.5000 0.0000
Re 0.5000 0.0000 0.0000
Tc 0.0000 0.0000 0.5000
Hg 0.5000 0.5000 0.5000

***

Record 20
Re2TcHg | GGA-PBEsol | optimized geometry

Properties
**Volume**: 62 Å³ per cell
**Formation energy**: 0.738 eV/atom
**VASP energy**: -8.89 eV per atom
**DOS at the Fermi energy**: 4.7 states/eV/f.u.
**ρ**: 17.88 Mg/m³

abc: 4.4504 4.4504 4.4504
angles: 60.00 60.00 60.00
Sites, in units of the cell vectors:
Re 0.0000 0.0000 0.0000
Re 0.2500 0.2500 0.2500
Tc 0.7500 0.7500 0.7500
Hg 0.5000 0.5000 0.5000

***

Record order is preserved below.
Magnetization: 0.000, 0.001, 1.561, 0.000, 0.004, 0.000, 0.000, 0.002, 0.001, 0.000, 0.000, 4.647, 0.001, 0.000, 0.000, 0.000, 0.000, 0.000, 0.001, 0.001 μB per cell